Record 1
A plane-wave DFT calculation with PBE was carried out for a relaxed structure of CsIr8.

As for the total energy: -6.3137 eV per atom.

Cell and atoms, written as CIF:
```
data_CsIr8
_chemical_formula_sum 'Cs1 Ir8'
_cell_length_a 8.1580
_cell_length_b 8.1580
_cell_length_c 6.0230
_cell_angle_alpha 90.00
_cell_angle_beta 90.00
_cell_angle_gamma 120.00
_space_group_name_H-M_alt 'P 6/m m m'
_space_group_IT_number 191
_space_group_name_Hall '-P 6 2'
loop_
_atom_site_label
_atom_site_type_symbol
_atom_site_fract_x
_atom_site_fract_y
_atom_site_fract_z
_atom_site_occupancy
Cs1 Cs 0.0000 0.0000 0.0000 1
Ir1 Ir 0.1669 0.3338 0.5000 1
Ir2 Ir 0.3333 0.6667 0.5000 1
```

***

Record 2
A plane-wave DFT calculation with PBE was carried out for a relaxed structure of RbCuSiTe3.

As for the total energy: -3.4831 eV per atom. The offset from the most stable computed form comes out at 6.2 kJ per mole of atoms.

Cell and atoms, written as CIF:
```
data_RbCuSiTe3
_chemical_formula_sum 'Rb4 Cu4 Si4 Te12'
_cell_length_a 3.864
_cell_length_b 16.433
_cell_length_c 11.132
_cell_angle_alpha 90.00
_cell_angle_beta 90.00
_cell_angle_gamma 90.00
_space_group_name_H-M_alt 'C m c m'
_space_group_IT_number 63
_space_group_name_Hall '-C 2c 2'
loop_
_atom_site_label
_atom_site_type_symbol
_atom_site_fract_x
_atom_site_fract_y
_atom_site_fract_z
_atom_site_occupancy
Rb1 Rb 0.000 0.245 0.250 1
Cu1 Cu 0.000 0.060 0.750 1
Si1 Si 0.000 0.500 0.000 1
Te1 Te 0.000 0.119 0.536 1
Te2 Te 0.000 0.453 0.750 1
```

***

Record 3
A plane-wave DFT calculation with PBE was carried out for a relaxed structure of PuScRe.

As for the total energy: -9.6138 eV per atom. The offset from the most stable computed form comes out at 0.0 kJ per mole of atoms.

Cell and atoms, written as CIF:
```
data_PuScRe
_chemical_formula_sum 'Pu4 Sc4 Re4'
_cell_length_a 6.258
_cell_length_b 6.258
_cell_length_c 6.258
_cell_angle_alpha 90.00
_cell_angle_beta 90.00
_cell_angle_gamma 90.00
_space_group_name_H-M_alt 'F -4 3 m'
_space_group_IT_number 216
_space_group_name_Hall 'F -4 2 3'
loop_
_atom_site_label
_atom_site_type_symbol
_atom_site_fract_x
_atom_site_fract_y
_atom_site_fract_z
_atom_site_occupancy
Pu1 Pu 0.000 0.000 0.000 1
Sc1 Sc 0.250 0.250 0.250 1
Re1 Re 0.000 0.000 0.500 1
```

***

| no. | V (A^3/atom) |
| --- | --- |
| 1 | 38.57 |
| 2 | 29.45 |
| 3 | 20.42 |